This record from Alexandria via LeMat-Bulk describes a relaxed MgTaPt crystal. The functional is GGA-PBE.

Cell and atoms, written as CIF:
```
data_MgTaPt
_chemical_formula_sum 'Mg1 Ta1 Pt1'
_symmetry_space_group_name_H-M 'P 1'
_symmetry_Int_Tables_number 1
_cell_length_a 4.374
_cell_length_b 4.374
_cell_length_c 4.374
_cell_angle_alpha 60.00
_cell_angle_beta 60.00
_cell_angle_gamma 60.00
loop_
_symmetry_equiv_pos_as_xyz
'x,y,z'
loop_
_atom_site_label
_atom_site_type_symbol
_atom_site_fract_x
_atom_site_fract_y
_atom_site_fract_z
Pt1 Pt 0.750 0.750 0.750
Mg1 Mg 0.500 0.500 0.500
Ta1 Ta 0.000 0.000 0.000
```

***

This record from Alexandria via LeMat-Bulk describes a relaxed MgTaPt crystal. The functional is GGA-PBE.

Cell and atoms, written as CIF:
```
data_MgTaPt
_chemical_formula_sum 'Mg1 Ta1 Pt1'
_symmetry_space_group_name_H-M 'P 1'
_symmetry_Int_Tables_number 1
_cell_length_a 6.477
_cell_length_b 6.477
_cell_length_c 2.903
_cell_angle_alpha 77.05
_cell_angle_beta 77.05
_cell_angle_gamma 25.90
loop_
_symmetry_equiv_pos_as_xyz
'x,y,z'
loop_
_atom_site_label
_atom_site_type_symbol
_atom_site_fract_x
_atom_site_fract_y
_atom_site_fract_z
Ta1 Ta 0.678 0.678 0.322
Pt1 Pt 0.334 0.334 0.666
Mg1 Mg 0.988 0.988 0.012
```

***

This record from Alexandria via LeMat-Bulk describes a relaxed MgTaPt crystal. The functional is GGA-PBE.

Cell and atoms, written as CIF:
```
data_MgTaPt
_chemical_formula_sum 'Mg1 Ta1 Pt1'
_symmetry_space_group_name_H-M 'P 1'
_symmetry_Int_Tables_number 1
_cell_length_a 4.394
_cell_length_b 4.394
_cell_length_c 4.394
_cell_angle_alpha 60.00
_cell_angle_beta 60.00
_cell_angle_gamma 60.00
loop_
_symmetry_equiv_pos_as_xyz
'x,y,z'
loop_
_atom_site_label
_atom_site_type_symbol
_atom_site_fract_x
_atom_site_fract_y
_atom_site_fract_z
Ta1 Ta 0.750 0.750 0.750
Pt1 Pt 0.500 0.500 0.500
Mg1 Mg 0.000 0.000 0.000
```

***

This record from Alexandria via LeMat-Bulk describes a relaxed MgTa2Pt crystal. The functional is GGA-PBE.

Cell and atoms, written as CIF:
```
data_MgTa2Pt
_chemical_formula_sum 'Mg2 Ta4 Pt2'
_symmetry_space_group_name_H-M 'P 1'
_symmetry_Int_Tables_number 1
_cell_length_a 7.680
_cell_length_b 7.680
_cell_length_c 6.052
_cell_angle_alpha 50.62
_cell_angle_beta 50.62
_cell_angle_gamma 90.00
loop_
_symmetry_equiv_pos_as_xyz
'x,y,z'
loop_
_atom_site_label
_atom_site_type_symbol
_atom_site_fract_x
_atom_site_fract_y
_atom_site_fract_z
Pt1 Pt 0.750 0.250 0.500
Pt2 Pt 0.000 0.000 0.000
Mg1 Mg 0.250 0.750 0.500
Mg2 Mg 0.500 0.500 0.000
Ta1 Ta 0.667 0.125 0.250
Ta2 Ta 0.083 0.625 0.250
Ta3 Ta 0.875 0.917 0.750
Ta4 Ta 0.375 0.333 0.750
```

***

This record from Alexandria via LeMat-Bulk describes a relaxed MgTa2Pt crystal. The functional is GGA-PBE.

Cell and atoms, written as CIF:
```
data_MgTa2Pt
_chemical_formula_sum 'Mg1 Ta2 Pt1'
_symmetry_space_group_name_H-M 'P 1'
_symmetry_Int_Tables_number 1
_cell_length_a 4.759
_cell_length_b 2.807
_cell_length_c 5.292
_cell_angle_alpha 77.44
_cell_angle_beta 90.00
_cell_angle_gamma 90.00
loop_
_symmetry_equiv_pos_as_xyz
'x,y,z'
loop_
_atom_site_label
_atom_site_type_symbol
_atom_site_fract_x
_atom_site_fract_y
_atom_site_fract_z
Mg1 Mg 0.500 0.250 0.250
Pt1 Pt 0.500 0.750 0.750
Ta1 Ta 0.000 0.498 0.501
Ta2 Ta 0.000 0.002 0.999
```

***

This record from Alexandria via LeMat-Bulk describes a relaxed Mg2TaPt8 crystal. The functional is GGA-PBE.

Cell and atoms, written as CIF:
```
data_Mg2TaPt8
_chemical_formula_sum 'Mg2 Ta1 Pt8'
_symmetry_space_group_name_H-M 'P 1'
_symmetry_Int_Tables_number 1
_cell_length_a 4.002
_cell_length_b 6.352
_cell_length_c 7.446
_cell_angle_alpha 105.96
_cell_angle_beta 105.59
_cell_angle_gamma 90.00
loop_
_symmetry_equiv_pos_as_xyz
'x,y,z'
loop_
_atom_site_label
_atom_site_type_symbol
_atom_site_fract_x
_atom_site_fract_y
_atom_site_fract_z
Pt1 Pt 0.045 0.724 0.090
Pt2 Pt 0.593 0.446 0.185
Pt3 Pt 0.319 0.081 0.638
Pt4 Pt 0.681 0.919 0.362
Pt5 Pt 0.407 0.554 0.815
Pt6 Pt 0.955 0.276 0.910
Pt7 Pt 0.135 0.179 0.271
Pt8 Pt 0.865 0.821 0.729
Ta1 Ta 0.500 0.000 0.000
Mg1 Mg 0.777 0.355 0.554
Mg2 Mg 0.223 0.645 0.446
```

***

This record from Alexandria via LeMat-Bulk describes a relaxed MgTa2Pt crystal. The functional is GGA-PBE.

Cell and atoms, written as CIF:
```
data_MgTa2Pt
_chemical_formula_sum 'Mg1 Ta2 Pt1'
_symmetry_space_group_name_H-M 'P 1'
_symmetry_Int_Tables_number 1
_cell_length_a 5.511
_cell_length_b 5.511
_cell_length_c 4.418
_cell_angle_alpha 66.37
_cell_angle_beta 66.37
_cell_angle_gamma 34.47
loop_
_symmetry_equiv_pos_as_xyz
'x,y,z'
loop_
_atom_site_label
_atom_site_type_symbol
_atom_site_fract_x
_atom_site_fract_y
_atom_site_fract_z
Ta1 Ta 0.490 0.490 0.510
Ta2 Ta 0.010 0.010 0.990
Pt1 Pt 0.750 0.750 0.750
Mg1 Mg 0.250 0.250 0.250
```

***

This record from Alexandria via LeMat-Bulk describes a relaxed MgTa2Pt crystal. The functional is GGA-PBE.

Cell and atoms, written as CIF:
```
data_MgTa2Pt
_chemical_formula_sum 'Mg1 Ta2 Pt1'
_symmetry_space_group_name_H-M 'P 1'
_symmetry_Int_Tables_number 1
_cell_length_a 5.289
_cell_length_b 5.289
_cell_length_c 5.188
_cell_angle_alpha 68.80
_cell_angle_beta 68.80
_cell_angle_gamma 31.75
loop_
_symmetry_equiv_pos_as_xyz
'x,y,z'
loop_
_atom_site_label
_atom_site_type_symbol
_atom_site_fract_x
_atom_site_fract_y
_atom_site_fract_z
Ta1 Ta 0.016 0.016 0.056
Ta2 Ta 0.264 0.264 0.193
Pt1 Pt 0.739 0.739 0.675
Mg1 Mg 0.481 0.481 0.577
```

***

This record from Alexandria via LeMat-Bulk describes a relaxed MgTa2Pt crystal. The functional is GGA-PBE.

Cell and atoms, written as CIF:
```
data_MgTa2Pt
_chemical_formula_sum 'Mg1 Ta2 Pt1'
_symmetry_space_group_name_H-M 'P 1'
_symmetry_Int_Tables_number 1
_cell_length_a 5.494
_cell_length_b 5.494
_cell_length_c 2.802
_cell_angle_alpha 81.34
_cell_angle_beta 81.34
_cell_angle_gamma 120.87
loop_
_symmetry_equiv_pos_as_xyz
'x,y,z'
loop_
_atom_site_label
_atom_site_type_symbol
_atom_site_fract_x
_atom_site_fract_y
_atom_site_fract_z
Mg1 Mg 0.500 0.000 0.500
Ta1 Ta 0.000 0.000 0.000
Ta2 Ta 0.500 0.500 0.000
Pt1 Pt 0.000 0.500 0.500
```

***

This record from Alexandria via LeMat-Bulk describes a relaxed MgTa2Pt crystal. The functional is GGA-PBE.

Cell and atoms, written as CIF:
```
data_MgTa2Pt
_chemical_formula_sum 'Mg1 Ta2 Pt1'
_symmetry_space_group_name_H-M 'P 1'
_symmetry_Int_Tables_number 1
_cell_length_a 3.377
_cell_length_b 3.377
_cell_length_c 6.196
_cell_angle_alpha 90.00
_cell_angle_beta 90.00
_cell_angle_gamma 90.00
loop_
_symmetry_equiv_pos_as_xyz
'x,y,z'
loop_
_atom_site_label
_atom_site_type_symbol
_atom_site_fract_x
_atom_site_fract_y
_atom_site_fract_z
Ta1 Ta 0.500 0.500 0.238
Ta2 Ta 0.000 0.000 0.002
Mg1 Mg 0.000 0.000 0.516
Pt1 Pt 0.500 0.500 0.744
```

***

This record from Alexandria via LeMat-Bulk describes a relaxed MgTa2Pt crystal. The functional is GGA-PBE.

Cell and atoms, written as CIF:
```
data_MgTa2Pt
_chemical_formula_sum 'Mg1 Ta2 Pt1'
_symmetry_space_group_name_H-M 'P 1'
_symmetry_Int_Tables_number 1
_cell_length_a 9.964
_cell_length_b 9.964
_cell_length_c 9.964
_cell_angle_alpha 16.65
_cell_angle_beta 16.65
_cell_angle_gamma 16.65
loop_
_symmetry_equiv_pos_as_xyz
'x,y,z'
loop_
_atom_site_label
_atom_site_type_symbol
_atom_site_fract_x
_atom_site_fract_y
_atom_site_fract_z
Ta1 Ta 0.251 0.251 0.251
Ta2 Ta 0.006 0.006 0.006
Pt1 Pt 0.750 0.750 0.750
Mg1 Mg 0.494 0.494 0.494
```

***

This record from Alexandria via LeMat-Bulk describes a relaxed MgTa2Pt crystal. The functional is GGA-PBE.

Cell and atoms, written as CIF:
```
data_MgTa2Pt
_chemical_formula_sum 'Mg1 Ta2 Pt1'
_symmetry_space_group_name_H-M 'P 1'
_symmetry_Int_Tables_number 1
_cell_length_a 4.622
_cell_length_b 4.622
_cell_length_c 4.622
_cell_angle_alpha 60.00
_cell_angle_beta 60.00
_cell_angle_gamma 60.00
loop_
_symmetry_equiv_pos_as_xyz
'x,y,z'
loop_
_atom_site_label
_atom_site_type_symbol
_atom_site_fract_x
_atom_site_fract_y
_atom_site_fract_z
Pt1 Pt 0.250 0.250 0.250
Ta1 Ta 0.000 0.000 0.000
Ta2 Ta 0.750 0.750 0.750
Mg1 Mg 0.500 0.500 0.500
```

***

This record from Alexandria via LeMat-Bulk describes a relaxed MgTa2Pt9 crystal. The functional is GGA-PBE.

Cell and atoms, written as CIF:
```
data_MgTa2Pt9
_chemical_formula_sum 'Mg1 Ta2 Pt9'
_symmetry_space_group_name_H-M 'P 1'
_symmetry_Int_Tables_number 1
_cell_length_a 3.995
_cell_length_b 3.995
_cell_length_c 11.930
_cell_angle_alpha 90.00
_cell_angle_beta 90.00
_cell_angle_gamma 90.00
loop_
_symmetry_equiv_pos_as_xyz
'x,y,z'
loop_
_atom_site_label
_atom_site_type_symbol
_atom_site_fract_x
_atom_site_fract_y
_atom_site_fract_z
Pt1 Pt 0.500 0.000 0.500
Pt2 Pt 0.000 0.500 0.829
Pt3 Pt 0.000 0.500 0.500
Pt4 Pt 0.000 0.500 0.171
Pt5 Pt 0.500 0.500 0.664
Pt6 Pt 0.500 0.500 0.000
Pt7 Pt 0.500 0.000 0.171
Pt8 Pt 0.500 0.500 0.336
Pt9 Pt 0.500 0.000 0.829
Ta1 Ta 0.000 0.000 0.674
Ta2 Ta 0.000 0.000 0.326
Mg1 Mg 0.000 0.000 0.000
```

***

This record from Alexandria via LeMat-Bulk describes a relaxed MgTa2Pt crystal. The functional is GGA-PBE.

Cell and atoms, written as CIF:
```
data_MgTa2Pt
_chemical_formula_sum 'Mg1 Ta2 Pt1'
_symmetry_space_group_name_H-M 'P 1'
_symmetry_Int_Tables_number 1
_cell_length_a 2.878
_cell_length_b 2.878
_cell_length_c 8.496
_cell_angle_alpha 90.00
_cell_angle_beta 90.00
_cell_angle_gamma 90.00
loop_
_symmetry_equiv_pos_as_xyz
'x,y,z'
loop_
_atom_site_label
_atom_site_type_symbol
_atom_site_fract_x
_atom_site_fract_y
_atom_site_fract_z
Ta1 Ta 0.500 0.500 0.243
Ta2 Ta 0.000 0.000 0.979
Mg1 Mg 0.000 0.000 0.527
Pt1 Pt 0.500 0.500 0.750
```

***

This record from Alexandria via LeMat-Bulk describes a relaxed MgTa2Pt crystal. The functional is GGA-PBE.

Cell and atoms, written as CIF:
```
data_MgTa2Pt
_chemical_formula_sum 'Mg1 Ta2 Pt1'
_symmetry_space_group_name_H-M 'P 1'
_symmetry_Int_Tables_number 1
_cell_length_a 4.636
_cell_length_b 2.806
_cell_length_c 5.327
_cell_angle_alpha 84.11
_cell_angle_beta 90.00
_cell_angle_gamma 90.00
loop_
_symmetry_equiv_pos_as_xyz
'x,y,z'
loop_
_atom_site_label
_atom_site_type_symbol
_atom_site_fract_x
_atom_site_fract_y
_atom_site_fract_z
Ta1 Ta 0.500 0.223 0.273
Ta2 Ta 0.000 0.015 0.980
Mg1 Mg 0.000 0.607 0.484
Pt1 Pt 0.500 0.656 0.763
```

***

This record from Alexandria via LeMat-Bulk describes a relaxed MgTa2Pt crystal. The functional is GGA-PBE.

Cell and atoms, written as CIF:
```
data_MgTa2Pt
_chemical_formula_sum 'Mg1 Ta2 Pt1'
_symmetry_space_group_name_H-M 'P 1'
_symmetry_Int_Tables_number 1
_cell_length_a 2.849
_cell_length_b 2.849
_cell_length_c 8.752
_cell_angle_alpha 90.00
_cell_angle_beta 90.00
_cell_angle_gamma 90.00
loop_
_symmetry_equiv_pos_as_xyz
'x,y,z'
loop_
_atom_site_label
_atom_site_type_symbol
_atom_site_fract_x
_atom_site_fract_y
_atom_site_fract_z
Ta1 Ta 0.000 0.000 0.517
Ta2 Ta 0.000 0.000 0.983
Mg1 Mg 0.500 0.500 0.250
Pt1 Pt 0.500 0.500 0.750
```

***

# Mg2Ta2Pt, relaxed, DFT GGA-PBE
data_Mg2Ta2Pt
_chemical_formula_sum 'Mg2 Ta2 Pt1'
_symmetry_space_group_name_H-M 'P 1'
_symmetry_Int_Tables_number 1
_cell_length_a 3.598
_cell_length_b 3.598
_cell_length_c 8.484
_cell_angle_alpha 77.76
_cell_angle_beta 77.76
_cell_angle_gamma 90.00
loop_
_symmetry_equiv_pos_as_xyz
'x,y,z'
loop_
_atom_site_label
_atom_site_type_symbol
_atom_site_fract_x
_atom_site_fract_y
_atom_site_fract_z
Pt1 Pt 0.000 0.000 0.000
Mg1 Mg 0.587 0.587 0.826
Mg2 Mg 0.413 0.413 0.174
Ta1 Ta 0.750 0.250 0.500
Ta2 Ta 0.250 0.750 0.500
# distance to the lowest polymorph of the same formula = 0.68 eV/f.u.

***

# MgTa3Pt, relaxed, DFT GGA-PBE
data_MgTa3Pt
_chemical_formula_sum 'Mg1 Ta3 Pt1'
_symmetry_space_group_name_H-M 'P 1'
_symmetry_Int_Tables_number 1
_cell_length_a 4.920
_cell_length_b 4.920
_cell_length_c 4.920
_cell_angle_alpha 90.00
_cell_angle_beta 90.00
_cell_angle_gamma 90.00
loop_
_symmetry_equiv_pos_as_xyz
'x,y,z'
loop_
_atom_site_label
_atom_site_type_symbol
_atom_site_fract_x
_atom_site_fract_y
_atom_site_fract_z
Mg1 Mg 0.500 0.500 0.500
Ta1 Ta 0.000 0.500 0.000
Ta2 Ta 0.000 0.000 0.500
Ta3 Ta 0.500 0.000 0.000
Pt1 Pt 0.000 0.000 0.000
# distance to the lowest polymorph of the same formula = 0.00 eV/f.u.

***

This record from Alexandria via LeMat-Bulk describes a relaxed MgTa2Pt crystal. The functional is GGA-PBE.

Cell and atoms, written as CIF:
```
data_MgTa2Pt
_chemical_formula_sum 'Mg1 Ta2 Pt1'
_symmetry_space_group_name_H-M 'P 1'
_symmetry_Int_Tables_number 1
_cell_length_a 10.030
_cell_length_b 10.030
_cell_length_c 10.030
_cell_angle_alpha 16.58
_cell_angle_beta 16.58
_cell_angle_gamma 16.58
loop_
_symmetry_equiv_pos_as_xyz
'x,y,z'
loop_
_atom_site_label
_atom_site_type_symbol
_atom_site_fract_x
_atom_site_fract_y
_atom_site_fract_z
Ta1 Ta 0.005 0.005 0.005
Ta2 Ta 0.495 0.495 0.495
Mg1 Mg 0.250 0.250 0.250
Pt1 Pt 0.750 0.750 0.750
```

***

This record from Alexandria via LeMat-Bulk describes a relaxed MgTa4Pt crystal. The functional is GGA-PBE.

Cell and atoms, written as CIF:
```
data_MgTa4Pt
_chemical_formula_sum 'Mg1 Ta4 Pt1'
_symmetry_space_group_name_H-M 'P 1'
_symmetry_Int_Tables_number 1
_cell_length_a 5.429
_cell_length_b 5.429
_cell_length_c 5.429
_cell_angle_alpha 60.00
_cell_angle_beta 60.00
_cell_angle_gamma 60.00
loop_
_symmetry_equiv_pos_as_xyz
'x,y,z'
loop_
_atom_site_label
_atom_site_type_symbol
_atom_site_fract_x
_atom_site_fract_y
_atom_site_fract_z
Ta1 Ta 0.376 0.376 0.871
Ta2 Ta 0.376 0.871 0.376
Ta3 Ta 0.871 0.376 0.376
Ta4 Ta 0.376 0.376 0.376
Mg1 Mg 0.750 0.750 0.750
Pt1 Pt 0.000 0.000 0.000
```

***

Number 1: total magnetization 0.0 μB per formula unit, ΔH_f (0 K) -0.26 eV per atom. Number 2: total magnetization 0.0 μB per formula unit, ΔH_f (0 K) -0.36 eV per atom. Number 3: total magnetization 0.0 μB per formula unit, ΔH_f (0 K) 0.29 eV per atom. Number 4: total magnetization 0.0 μB per formula unit, ΔH_f (0 K) 0.25 eV per atom. Number 5: total magnetization 0.0 μB per formula unit, ΔH_f (0 K) -0.15 eV per atom. Number 6: total magnetization 0.0 μB per formula unit, ΔH_f (0 K) -0.62 eV per atom. Number 7: total magnetization 0.0 μB per formula unit, ΔH_f (0 K) -0.28 eV per atom. Number 8: total magnetization 0.0 μB per formula unit, ΔH_f (0 K) -0.19 eV per atom. Number 9: total magnetization 0.0 μB per formula unit, ΔH_f (0 K) -0.14 eV per atom. Number 10: total magnetization 0.0 μB per formula unit, ΔH_f (0 K) -0.17 eV per atom. Number 11: total magnetization 0.0 μB per formula unit, ΔH_f (0 K) -0.08 eV per atom. Number 12: total magnetization 1.4 μB per formula unit, ΔH_f (0 K) 0.01 eV per atom. Number 13: total magnetization 0.0 μB per formula unit, ΔH_f (0 K) -0.72 eV per atom. Number 14: total magnetization 0.0 μB per formula unit, ΔH_f (0 K) -0.30 eV per atom. Number 15: total magnetization 0.0 μB per formula unit, ΔH_f (0 K) -0.13 eV per atom. Number 16: total magnetization 0.0 μB per formula unit, ΔH_f (0 K) -0.10 eV per atom. Number 17: total magnetization 0.0 μB per formula unit, ΔH_f (0 K) 0.45 eV per atom. Number 18: total magnetization 0.0 μB per formula unit, ΔH_f (0 K) 1.08 eV per atom. Number 19: total magnetization 0.0 μB per formula unit, ΔH_f (0 K) -0.03 eV per atom. Number 20: total magnetization 0.0 μB per formula unit, ΔH_f (0 K) 0.23 eV per atom.